Entry 1:
The following is a PBE calculation of an optimized crystal structure of Dy2Y3Lu2Ni2Se2, from OQMD.

a = 9.0275 Å, b = 9.0275 Å, c = 9.0275 Å
α = 155.74°, β = 67.57°, γ = 118.02°
Closest atoms and distances in Å follow each position.
Fractional positions:
Se1 0.6431 0.1431 0.5000  2 Dy 2.98, 5 Y 2.99-3.15
Se2 0.2381 0.2381 0.0000  2 Lu 3.03, 4 Dy 3.04, 2 Y 3.05
Ni1 0.6696 0.4081 0.2615  2 Lu 2.73, 2 Dy 2.79, 2 Y 2.86
Ni2 0.1466 0.4081 0.7385  2 Lu 2.73, 2 Dy 2.79, 2 Y 2.86
Y1 0.8815 0.7400 0.1415  2 Ni 2.86, 2 Se 2.99
Y2 0.9818 0.4818 0.5000  3 Se 3.05-3.15
Y3 0.5985 0.7400 0.8585  2 Ni 2.86, 2 Se 2.99
Dy1 0.5202 0.8947 0.6256  2 Ni 2.79, 3 Se 2.98-3.04
Dy2 0.2691 0.8947 0.3744  2 Ni 2.79, 3 Se 2.98-3.04
Lu1 0.9160 0.0988 0.8172  2 Ni 2.73, 1 Se 3.03
Lu2 0.2816 0.0988 0.1828  2 Ni 2.73, 1 Se 3.03

symmetry	Imm2, No. 44
crystal system	orthorhombic
E_tot	-5.896	eV/atom

Entry 2:
The following is a PBE calculation of an optimized crystal structure of Li8SnAu2, from OQMD.

a = 4.4499 Å, b = 4.4499 Å, c = 10.4427 Å
α = 102.21°, β = 102.21°, γ = 60.01°
Closest atoms and distances in Å follow each position.
Fractional positions:
Li1 0.7234 0.7234 0.1708  8 Li 2.67-2.84
Li2 0.1830 0.1830 0.5487  3 Au 2.73, 5 Li 2.75-2.84
Li3 0.2766 0.2766 0.8292  8 Li 2.67-2.84
Li4 0.0918 0.0918 0.2752  3 Au 2.71, 4 Li 2.77-2.78, 1 Sn 2.79
Li5 0.3663 0.3663 0.0990  1 Au 2.64, 4 Li 2.67-2.73, 3 Sn 2.76
Li6 0.6337 0.6337 0.9010  1 Au 2.64, 4 Li 2.67-2.73, 3 Sn 2.76
Li7 0.9082 0.9082 0.7248  3 Au 2.71, 4 Li 2.77-2.78, 1 Sn 2.79
Li8 0.8170 0.8170 0.4513  3 Au 2.73, 5 Li 2.75-2.84
Sn1 0.0000 0.0000 0.0000  8 Li 2.76-2.79
Au1 0.5465 0.5465 0.6399  7 Li 2.64-2.73, 1 Au 2.83
Au2 0.4535 0.4535 0.3601  7 Li 2.64-2.73, 1 Au 2.83

symmetry	C2/m, No. 12
crystal system	monoclinic
E_tot	-2.755	eV/atom

Entry 3:
The following is a PBE calculation of an optimized crystal structure of HoNiOs, from OQMD.

a = 4.3053 Å, b = 4.3053 Å, c = 4.3053 Å
α = 60.00°, β = 60.00°, γ = 60.00°
Closest atoms and distances in Å follow each position.
Fractional positions:
Ni1 0.0000 0.0000 0.0000  4 Os 2.64, 4 Ho 2.64
Ho1 0.2500 0.2500 0.2500  4 Ni 2.64
Os1 0.7500 0.7500 0.7500  4 Ni 2.64

energy above the lowest structure with this stoichiometry	0.000	eV per atom
symmetry	F-43m, No. 216
crystal system	cubic
energy of formation	294	meV per atom

Entry 4:
The following is a PBE calculation of an optimized crystal structure of CsBaZrAu, from OQMD.

a = 5.7504 Å, b = 5.7504 Å, c = 5.7504 Å
α = 60.00°, β = 60.00°, γ = 60.00°
Closest atoms and distances in Å follow each position.
Fractional positions:
Ba1 0.2500 0.2500 0.2500  4 Cs 3.52, 4 Zr 3.52
Cs1 0.5000 0.5000 0.5000  4 Ba 3.52, 4 Au 3.52
Zr1 0.0000 0.0000 0.0000  4 Au 3.52, 4 Ba 3.52
Au1 0.7500 0.7500 0.7500  4 Zr 3.52, 4 Cs 3.52

energy above the lowest structure with this stoichiometry	0.128	eV per atom
symmetry	F-43m, No. 216
crystal system	cubic

Entry 5:
The following is a PBE calculation of an optimized crystal structure of LuHfInNi, from OQMD.

a = 4.8405 Å, b = 4.8405 Å, c = 4.8405 Å
α = 60.00°, β = 60.00°, γ = 60.00°
Closest atoms and distances in Å follow each position.
Fractional positions:
Hf1 0.2500 0.2500 0.2500  4 In 2.96, 4 Lu 2.96
Lu1 0.5000 0.5000 0.5000  4 Ni 2.96, 4 Hf 2.96
In1 0.0000 0.0000 0.0000  4 Hf 2.96, 4 Ni 2.96
Ni1 0.7500 0.7500 0.7500  4 Lu 2.96, 4 In 2.96

energy above the lowest structure with this stoichiometry	0.000	eV per atom
symmetry	F-43m, No. 216
crystal system	cubic

Entry 6:
The following is a PBE calculation of an optimized crystal structure of AlAg2Pd, from OQMD.

a = 4.4883 Å, b = 4.4883 Å, c = 4.4883 Å
α = 60.00°, β = 60.00°, γ = 60.00°
Closest atoms and distances in Å follow each position.
Fractional positions:
Ag1 0.7500 0.7500 0.7500  4 Ag 2.75, 4 Al 2.75
Ag2 0.0000 0.0000 0.0000  4 Ag 2.75, 4 Pd 2.75
Pd1 0.2500 0.2500 0.2500  4 Al 2.75, 4 Ag 2.75
Al1 0.5000 0.5000 0.5000  4 Pd 2.75, 4 Ag 2.75

symmetry	F-43m, No. 216
crystal system	cubic
E_tot	-3.907	eV/atom

Entry 7:
The following is a PBE calculation of an optimized crystal structure of Tb2GdCo2C2N3, from OQMD.

a = 10.0551 Å, b = 10.0551 Å, c = 10.0551 Å
α = 160.14°, β = 160.14°, γ = 28.24°
Closest atoms and distances in Å follow each position.
Fractional positions:
Tb1 0.6278 0.6278 0.0000  5 N 2.46-2.49
Tb2 0.3722 0.3722 0.0000  5 N 2.46-2.49
N1 0.1213 0.1213 0.0000  1 C 1.42
N2 0.8787 0.8787 0.0000  1 C 1.42
N3 0.5000 0.5000 0.0000  4 Gd 2.45, 2 Tb 2.49
Co1 0.7500 0.2500 0.5000  4 C 2.05
Co2 0.2500 0.7500 0.5000  4 C 2.05
C1 0.8057 0.8057 0.0000  1 N 1.42
C2 0.1943 0.1943 0.0000  1 N 1.42
Gd1 0.0000 0.0000 0.0000  6 N 2.37-2.45

symmetry	I4/mmm, No. 139
crystal system	tetragonal
E_tot	-8.059	eV/atom

Entry 8:
The following is a PBE calculation of an optimized crystal structure of Nd2ErMg3AlGa2, from OQMD.

a = 4.5578 Å, b = 7.3647 Å, c = 7.3647 Å
α = 119.22°, β = 90.00°, γ = 90.00°
Closest atoms and distances in Å follow each position.
Fractional positions:
Ga1 0.5000 0.3388 0.6645  3 Mg 2.82-2.89, 2 Er 3.12
Ga2 0.5000 0.6645 0.3388  3 Mg 2.82-2.89, 2 Er 3.12
Er1 0.0000 0.5694 0.5694  4 Ga 3.12, 1 Al 3.15, 2 Mg 3.33
Al1 0.0000 0.9927 0.9927  6 Mg 2.88-2.95, 1 Er 3.15, 2 Nd 3.22
Nd1 0.0000 0.4339 0.0015  4 Ga 3.18-3.19, 1 Al 3.22, 2 Mg 3.30
Nd2 0.0000 0.0015 0.4339  4 Ga 3.18-3.19, 1 Al 3.22, 2 Mg 3.30
Mg1 0.5000 0.2440 0.2440  2 Ga 2.82, 2 Al 2.95, 2 Mg 3.14
Mg2 0.5000 0.7562 0.9989  2 Ga 2.85-2.89, 2 Al 2.88, 2 Mg 3.08-3.14
Mg3 0.5000 0.9989 0.7562  2 Ga 2.85-2.89, 2 Al 2.88, 2 Mg 3.08-3.14

symmetry	Amm2, No. 38
crystal system	orthorhombic
E_tot	-3.601	eV/atom

Entry 9:
The following is a PBE calculation of an optimized crystal structure of Sc2Nb3Ge4, from OQMD.

a = 6.8624 Å, b = 13.3241 Å, c = 7.0328 Å
α = 90.00°, β = 90.00°, γ = 90.00°
Closest atoms and distances in Å follow each position.
Fractional positions:
Ge1 0.5450 0.7500 0.6116  1 Ge 2.58, 6 Nb 2.64-2.79
Ge2 0.1833 0.5399 0.5341  4 Nb 2.61-2.81, 1 Ge 2.77, 2 Sc 2.77-2.88
Ge3 0.1833 0.9601 0.5341  4 Nb 2.61-2.81, 1 Ge 2.77, 2 Sc 2.77-2.88
Ge4 0.3109 0.7500 0.1484  1 Ge 2.58, 4 Nb 2.70-2.80, 2 Sc 2.77
Ge5 0.8109 0.7500 0.3516  1 Ge 2.58, 4 Nb 2.70-2.80, 2 Sc 2.77
Ge6 0.9550 0.2500 0.1116  1 Ge 2.58, 6 Nb 2.64-2.79
Ge7 0.8167 0.0399 0.4659  4 Nb 2.61-2.81, 1 Ge 2.77, 2 Sc 2.77-2.88
Ge8 0.3167 0.0399 0.0341  4 Nb 2.61-2.81, 1 Ge 2.77, 2 Sc 2.77-2.88
Ge9 0.6833 0.9601 0.9659  4 Nb 2.61-2.81, 1 Ge 2.77, 2 Sc 2.77-2.88
Ge10 0.1891 0.2500 0.6484  1 Ge 2.58, 4 Nb 2.70-2.80, 2 Sc 2.77
Ge11 0.8167 0.4601 0.4659  4 Nb 2.61-2.81, 1 Ge 2.77, 2 Sc 2.77-2.88
Ge12 0.6891 0.2500 0.8516  1 Ge 2.58, 4 Nb 2.70-2.80, 2 Sc 2.77
Ge13 0.4550 0.2500 0.3884  1 Ge 2.58, 6 Nb 2.64-2.79
Ge14 0.6833 0.5399 0.9659  4 Nb 2.61-2.81, 1 Ge 2.77, 2 Sc 2.77-2.88
Ge15 0.3167 0.4601 0.0341  4 Nb 2.61-2.81, 1 Ge 2.77, 2 Sc 2.77-2.88
Ge16 0.0450 0.7500 0.8884  1 Ge 2.58, 6 Nb 2.64-2.79
Nb1 0.1694 0.7500 0.5100  6 Ge 2.67-2.81
Nb2 0.3449 0.6259 0.8286  6 Ge 2.61-2.80
Nb3 0.8449 0.8741 0.6714  6 Ge 2.61-2.80
Nb4 0.6551 0.3741 0.1714  6 Ge 2.61-2.80
Nb5 0.8449 0.6259 0.6714  6 Ge 2.61-2.80
Nb6 0.3449 0.8741 0.8286  6 Ge 2.61-2.80
Nb7 0.3306 0.2500 0.0100  6 Ge 2.67-2.81
Nb8 0.8306 0.2500 0.4900  6 Ge 2.67-2.81
Nb9 0.6551 0.1259 0.1714  6 Ge 2.61-2.80
Nb10 0.1551 0.1259 0.3286  6 Ge 2.61-2.80
Nb11 0.1551 0.3741 0.3286  6 Ge 2.61-2.80
Nb12 0.6694 0.7500 0.9900  6 Ge 2.67-2.81
Sc1 0.9914 0.0941 0.8239  7 Ge 2.77-3.01
Sc2 0.4914 0.4059 0.6761  7 Ge 2.77-3.01
Sc3 0.9914 0.4059 0.8239  7 Ge 2.77-3.01
Sc4 0.5086 0.5941 0.3239  7 Ge 2.77-3.01
Sc5 0.4914 0.0941 0.6761  7 Ge 2.77-3.01
Sc6 0.0086 0.9059 0.1761  7 Ge 2.77-3.01
Sc7 0.0086 0.5941 0.1761  7 Ge 2.77-3.01
Sc8 0.5086 0.9059 0.3239  7 Ge 2.77-3.01

symmetry	Pnma, No. 62
crystal system	orthorhombic
E_tot	-7.544	eV/atom

Entry 10:
The following is a PBE calculation of an optimized crystal structure of KEr2S4, from OQMD.

a = 8.3143 Å, b = 8.3143 Å, c = 8.3143 Å
α = 60.00°, β = 60.00°, γ = 60.00°
Closest atoms and distances in Å follow each position.
Fractional positions:
Er1 0.1250 0.1250 0.6250  6 S 2.73
Er2 0.1250 0.6250 0.1250  6 S 2.73
Er3 0.1250 0.1250 0.1250  6 S 2.73
Er4 0.6250 0.1250 0.1250  6 S 2.73
K1 0.5000 0.5000 0.5000  4 S 2.95
K2 0.7500 0.7500 0.7500  4 S 2.95
S1 0.9340 0.3553 0.3553  3 Er 2.73, 1 K 2.95
S2 0.8947 0.8947 0.3160  3 Er 2.73, 1 K 2.95
S3 0.3553 0.3553 0.9340  3 Er 2.73, 1 K 2.95
S4 0.3553 0.9340 0.3553  3 Er 2.73, 1 K 2.95
S5 0.8947 0.8947 0.8947  3 Er 2.73, 1 K 2.95
S6 0.3553 0.3553 0.3553  3 Er 2.73, 1 K 2.95
S7 0.3160 0.8947 0.8947  3 Er 2.73, 1 K 2.95
S8 0.8947 0.3160 0.8947  3 Er 2.73, 1 K 2.95

symmetry	Fd-3m, No. 227
crystal system	cubic
E_tot	-5.426	eV/atom

Entry 11:
The following is a PBE calculation of an optimized crystal structure of NaAgGe, from OQMD.

a = 4.5914 Å, b = 4.5914 Å, c = 4.5914 Å
α = 60.00°, β = 60.00°, γ = 60.00°
Closest atoms and distances in Å follow each position.
Fractional positions:
Ag1 0.0000 0.0000 0.0000  4 Na 2.81, 4 Ge 2.81
Ge1 0.2500 0.2500 0.2500  4 Ag 2.81
Na1 0.7500 0.7500 0.7500  4 Ag 2.81

symmetry	F-43m, No. 216
crystal system	cubic
E_tot	-2.766	eV/atom

Entry 12:
The following is a PBE calculation of an optimized crystal structure of ZrBe, from OQMD.

a = 3.9620 Å, b = 3.9620 Å, c = 3.9620 Å
α = 60.00°, β = 60.00°, γ = 60.00°
Closest atoms and distances in Å follow each position.
Fractional positions:
Be1 0.0000 0.0000 0.0000  4 Zr 2.43
Zr1 0.2500 0.2500 0.2500  4 Be 2.43

symmetry	F-43m, No. 216
crystal system	cubic
E_tot	-4.760	eV/atom